This record from the Alexandria database describes a relaxed structure of MnBe2Si. The functional is PBEsol.

Output
symmetry: No. 166
volume: 41 Å³/f.u.
formation energy without anion corrections: 0.23 eV/atom
Fermi-level density of states: 2.6 states/eV/f.u.

Lattice parameters (Å, degrees): 2.5156 2.5156 7.6853 80.58 80.58 60.00
Sites, in units of the cell vectors:
Mn: 0.5000 0.5000 0.5000
Be: 0.7528 0.7528 0.7416
Be: 0.2472 0.2472 0.2584
Si: 0.0000 0.0000 0.0000

***

This record from the Alexandria database describes a relaxed structure of MnBe2Si. The functional is PBEsol.

Output
symmetry: No. 71
volume: 38 Å³/f.u.
formation energy without anion corrections: -0.24 eV/atom
Fermi-level density of states: 1.4 states/eV/f.u.

Lattice parameters (Å, degrees): 2.9053 3.5114 4.3446 113.84 109.53 90.00
Sites, in units of the cell vectors:
Be: 0.7563 0.7563 0.5126
Be: 0.2437 0.2437 0.4874
Mn: 0.5000 0.0000 0.0000
Si: 0.0000 0.5000 0.0000

***

This record from the Alexandria database describes a relaxed structure of Mn2BeSi. The functional is PBEsol.

Output
symmetry: No. 65
volume: 41 Å³/f.u.
formation energy without anion corrections: -0.25 eV/atom
Fermi-level density of states: 3.0 states/eV/f.u.

Lattice parameters (Å, degrees): 2.8137 3.8129 3.8129 92.53 90.00 90.00
Sites, in units of the cell vectors:
Si: 0.5000 0.0000 0.0000
Mn: 0.0000 0.5000 0.0000
Mn: 0.0000 0.0000 0.5000
Be: 0.5000 0.5000 0.5000

***

This record from the Alexandria database describes a relaxed structure of MnBe2Si. The functional is PBEsol.

Output
symmetry: No. 139
volume: 38 Å³/f.u.
formation energy without anion corrections: -0.24 eV/atom
Fermi-level density of states: 1.1 states/eV/f.u.

Lattice parameters (Å, degrees): 3.2493 3.2493 4.2837 112.29 112.29 90.00
Sites, in units of the cell vectors:
Mn: 0.5000 0.5000 0.0000
Be: 0.2500 0.7500 0.5000
Be: 0.7500 0.2500 0.5000
Si: 0.0000 0.0000 0.0000

***

This record from the Alexandria database describes a relaxed structure of Mn2Be2Si. The functional is PBEsol.

Output
symmetry: No. 127
volume: 45 Å³/f.u.
formation energy without anion corrections: -0.30 eV/atom
Fermi-level density of states: 2.1 states/eV/f.u.

Lattice parameters (Å, degrees): 2.9132 5.5759 5.5759 90.00 90.00 90.00
Sites, in units of the cell vectors:
Be: 0.0000 0.6221 0.1221
Be: 0.0000 0.3779 0.8779
Mn: 0.5000 0.8237 0.3237
Mn: 0.5000 0.1763 0.6763
Mn: 0.5000 0.6763 0.8237
Mn: 0.5000 0.3237 0.1763
Si: 0.0000 0.5000 0.5000
Be: 0.0000 0.1221 0.3779
Be: 0.0000 0.8779 0.6221
Si: 0.0000 0.0000 0.0000

***

This record from the Alexandria database describes a relaxed structure of MnBe2Si. The functional is PBEsol.

Output
symmetry: No. 123
volume: 39 Å³/f.u.
formation energy without anion corrections: -0.21 eV/atom
Fermi-level density of states: 1.5 states/eV/f.u.

Lattice parameters (Å, degrees): 3.3916 3.3865 3.3865 90.00 90.00 90.00
Sites, in units of the cell vectors:
Si: 0.5000 0.0000 0.0000
Mn: 0.5000 0.5000 0.5000
Be: 0.0000 0.5000 0.0000
Be: 0.0000 0.0000 0.5000

***

This record from the Alexandria database describes a relaxed structure of Mn2BeSi. The functional is PBEsol.

Output
symmetry: No. 123
volume: 42 Å³/f.u.
formation energy without anion corrections: -0.25 eV/atom
Fermi-level density of states: 2.2 states/eV/f.u.

Lattice parameters (Å, degrees): 3.2534 3.5953 3.5953 90.00 90.00 90.00
Sites, in units of the cell vectors:
Mn: 0.0000 0.5000 0.0000
Be: 0.5000 0.0000 0.0000
Mn: 0.0000 0.0000 0.5000
Si: 0.5000 0.5000 0.5000

***

This record from the Alexandria database describes a relaxed structure of MnBe2Si. The functional is PBEsol.

Output
symmetry: No. 65
volume: 41 Å³/f.u.
formation energy without anion corrections: 0.20 eV/atom
Fermi-level density of states: 3.3 states/eV/f.u.

Lattice parameters (Å, degrees): 2.3890 2.3890 7.1422 90.00 90.00 91.87
Sites, in units of the cell vectors:
Be: 0.0000 0.0000 0.7311
Mn: 0.5000 0.5000 0.5000
Si: 0.5000 0.5000 0.0000
Be: 0.0000 0.0000 0.2689

***

This record from the Alexandria database describes a relaxed structure of Mn2BeSi. The functional is PBEsol.

Output
symmetry: No. 139
volume: 42 Å³/f.u.
formation energy without anion corrections: -0.28 eV/atom
Fermi-level density of states: 2.3 states/eV/f.u.

Lattice parameters (Å, degrees): 3.6300 4.0769 3.6300 63.56 90.00 116.44
Sites, in units of the cell vectors:
Si: 0.0000 0.0000 0.0000
Mn: 0.7500 0.5000 0.7500
Be: 0.5000 0.0000 0.5000
Mn: 0.2500 0.5000 0.2500

***

This record from the Alexandria database describes a relaxed structure of Mn2BeSi. The functional is PBEsol.

Output
symmetry: No. 99
volume: 39 Å³/f.u.
formation energy without anion corrections: -0.30 eV/atom
Fermi-level density of states: 1.4 states/eV/f.u.

Lattice parameters (Å, degrees): 2.7509 2.7509 5.1780 90.00 90.00 90.00
Sites, in units of the cell vectors:
Mn: 0.5000 0.5000 0.2494
Mn: 0.0000 0.0000 0.9792
Be: 0.5000 0.5000 0.7620
Si: 0.0000 0.0000 0.5093

***

This record from the Alexandria database describes a relaxed structure of MnBe2Si. The functional is PBEsol.

Output
symmetry: No. 119
volume: 38 Å³/f.u.
formation energy without anion corrections: -0.32 eV/atom
Fermi-level density of states: 1.1 states/eV/f.u.

Lattice parameters (Å, degrees): 3.2704 3.2704 4.2204 112.80 112.80 90.00
Sites, in units of the cell vectors:
Si: 0.2500 0.7500 0.5000
Be: 0.7500 0.2500 0.5000
Mn: 0.0000 0.0000 0.0000
Be: 0.5000 0.5000 0.0000

***

This record from the Alexandria database describes a relaxed structure of SrMnBe3. The functional is PBEsol.

Output
symmetry: No. 221
ΔE_f: 238.86 kJ per mole of atoms
volume: 123 Å³/f.u.
Fermi-level density of states: 3.8 states/eV/f.u.

Lattice parameters (Å, degrees): 4.9777 4.9777 4.9777 90.00 90.00 90.00
Sites, in units of the cell vectors:
Mn: 0.5000 0.5000 0.5000
Be: 0.0000 0.0000 0.5000
Be: 0.0000 0.5000 0.0000
Sr: 0.0000 0.0000 0.0000
Be: 0.5000 0.0000 0.0000

***

This record from the Alexandria database describes a relaxed structure of Sr2MnBe. The functional is PBEsol.

Output
symmetry: No. 99
ΔE_f: 51.30 kJ per mole of atoms
volume: 103 Å³/f.u.
Fermi-level density of states: 4.0 states/eV/f.u.

Lattice parameters (Å, degrees): 3.4158 3.4158 8.8235 90.00 90.00 90.00
Sites, in units of the cell vectors:
Be: 0.0000 0.0000 0.5831
Sr: 0.5000 0.5000 0.3274
Sr: 0.0000 0.0000 0.9257
Mn: 0.5000 0.5000 0.6638

***

This record from the Alexandria database describes a relaxed structure of Ta2MnBe2. The functional is PBEsol.

Output
symmetry: No. 127
ΔE_f: -19.05 kJ per mole of atoms
volume: 61 Å³/f.u.
offset from the most stable computed form: 0 kJ/mol of formula units
Fermi-level density of states: 2.4 states/eV/f.u.

Lattice parameters (Å, degrees): 3.2542 6.1098 6.1098 90.00 90.00 90.00
Sites, in units of the cell vectors:
Ta: 0.5000 0.3211 0.1789
Mn: 0.0000 0.0000 0.0000
Be: 0.0000 0.8802 0.6198
Ta: 0.5000 0.8211 0.3211
Mn: 0.0000 0.5000 0.5000
Be: 0.0000 0.3802 0.8802
Be: 0.0000 0.6198 0.1198
Ta: 0.5000 0.6789 0.8211
Be: 0.0000 0.1198 0.3802
Ta: 0.5000 0.1789 0.6789

***

This record from the Alexandria database describes a relaxed structure of Ta2MnBe2. The functional is PBEsol.

Output
symmetry: No. 139
ΔE_f: 55.03 kJ per mole of atoms
volume: 71 Å³/f.u.
offset from the most stable computed form: 370 kJ/mol of formula units
Fermi-level density of states: 3.7 states/eV/f.u.

Lattice parameters (Å, degrees): 3.7099 3.7099 5.8101 108.62 108.62 90.00
Sites, in units of the cell vectors:
Ta: 0.7500 0.2500 0.5000
Be: 0.5919 0.5919 0.1839
Mn: 0.0000 0.0000 0.0000
Be: 0.4081 0.4081 0.8161
Ta: 0.2500 0.7500 0.5000

***

This record from the Alexandria database describes a relaxed structure of TaMnBe4. The functional is PBEsol.

Output
symmetry: No. 216
ΔE_f: -27.46 kJ per mole of atoms
volume: 58 Å³/f.u.
Fermi-level density of states: 0.9 states/eV/f.u.

Lattice parameters (Å, degrees): 4.3372 4.3372 4.3372 60.00 60.00 60.00
Sites, in units of the cell vectors:
Mn: 0.2500 0.2500 0.2500
Be: 0.6241 0.6241 0.1278
Be: 0.6241 0.1278 0.6241
Be: 0.1278 0.6241 0.6241
Be: 0.6241 0.6241 0.6241
Ta: 0.0000 0.0000 0.0000

***

This record from the Alexandria database describes a relaxed structure of MnBeTc2. The functional is PBEsol.

Output
symmetry: No. 47
ΔE_f: 4.17 kJ per mole of atoms
volume: 47 Å³/f.u.
Fermi-level density of states: 3.1 states/eV/f.u.

Lattice parameters (Å, degrees): 2.6905 3.1508 5.4947 90.00 90.00 90.00
Sites, in units of the cell vectors:
Be: 0.5000 0.5000 0.0000
Mn: 0.5000 0.5000 0.5000
Tc: 0.0000 0.0000 0.7600
Tc: 0.0000 0.0000 0.2400

***

This record from the Alexandria database describes a relaxed structure of MnBeTc2. The functional is PBEsol.

Output
symmetry: No. 71
ΔE_f: 3.31 kJ per mole of atoms
volume: 48 Å³/f.u.
Fermi-level density of states: 2.8 states/eV/f.u.

Lattice parameters (Å, degrees): 2.9787 4.0755 4.6592 115.94 108.64 90.00
Sites, in units of the cell vectors:
Tc: 0.7521 0.7521 0.5042
Be: 0.5000 0.0000 0.0000
Tc: 0.2479 0.2479 0.4958
Mn: 0.0000 0.5000 0.0000

***

This record from the Alexandria database describes a relaxed structure of MnBeTc. The functional is PBEsol.

Output
symmetry: No. 107
ΔE_f: -13.13 kJ per mole of atoms
volume: 32 Å³/f.u.
offset from the most stable computed form: 0 kJ/mol of formula units
Fermi-level density of states: 1.4 states/eV/f.u.

Lattice parameters (Å, degrees): 2.8295 2.8295 4.5037 108.31 108.31 90.00
Sites, in units of the cell vectors:
Mn: 0.6624 0.6624 0.3249
Tc: 0.3293 0.3293 0.6586
Be: 0.0082 0.0082 0.0165

***

This record from the Alexandria database describes a relaxed structure of MnBe2Tc2. The functional is PBEsol.

Output
symmetry: No. 127
ΔE_f: -18.65 kJ per mole of atoms
volume: 54 Å³/f.u.
Fermi-level density of states: 2.1 states/eV/f.u.

Lattice parameters (Å, degrees): 3.1171 5.8766 5.8766 90.00 90.00 90.00
Sites, in units of the cell vectors:
Be: 0.0000 0.8791 0.6209
Be: 0.0000 0.6209 0.1209
Be: 0.0000 0.1209 0.3791
Tc: 0.5000 0.6769 0.8231
Tc: 0.5000 0.8231 0.3231
Mn: 0.0000 0.5000 0.5000
Mn: 0.0000 0.0000 0.0000
Be: 0.0000 0.3791 0.8791
Tc: 0.5000 0.1769 0.6769
Tc: 0.5000 0.3231 0.1769

***

This record from the Alexandria database describes a relaxed structure of MnBe2Tc. The functional is PBEsol.

Output
symmetry: No. 8
ΔE_f: -6.66 kJ per mole of atoms
volume: 40 Å³/f.u.
offset from the most stable computed form: 0 kJ/mol of formula units
Fermi-level density of states: 2.8 states/eV/f.u.

Lattice parameters (Å, degrees): 2.9885 3.7523 4.3134 115.96 110.27 90.00
Sites, in units of the cell vectors:
Be: 0.7349 0.2359 0.4698
Be: 0.0168 0.0158 0.0336
Tc: 0.2569 0.7578 0.5137
Mn: 0.4914 0.4905 0.9828

***

This record from the Alexandria database describes a relaxed structure of MnBeTc2. The functional is PBEsol.

Output
symmetry: No. 25
ΔE_f: 6.37 kJ per mole of atoms
volume: 48 Å³/f.u.
Fermi-level density of states: 3.3 states/eV/f.u.

Lattice parameters (Å, degrees): 2.6366 3.7467 4.8264 90.00 90.00 90.00
Sites, in units of the cell vectors:
Be: 0.0000 0.0000 0.5037
Tc: 0.5000 0.5000 0.2760
Mn: 0.5000 0.5000 0.7291
Tc: 0.0000 0.0000 0.9912

***

This record from the Alexandria database describes a relaxed structure of MnBe2Tc. The functional is PBEsol.

Output
symmetry: No. 166
ΔE_f: 21.21 kJ per mole of atoms
volume: 43 Å³/f.u.
offset from the most stable computed form: 111 kJ/mol of formula units
Fermi-level density of states: 3.4 states/eV/f.u.

Lattice parameters (Å, degrees): 2.5407 2.5407 7.8596 80.70 80.70 60.00
Sites, in units of the cell vectors:
Be: 0.7539 0.7539 0.7383
Mn: 0.5000 0.5000 0.5000
Be: 0.2461 0.2461 0.2617
Tc: 0.0000 0.0000 0.0000

***

This record from the Alexandria database describes a relaxed structure of MnBeTc. The functional is PBEsol.

Output
symmetry: No. 216
ΔE_f: 42.21 kJ per mole of atoms
volume: 38 Å³/f.u.
offset from the most stable computed form: 166 kJ/mol of formula units
Fermi-level density of states: 2.6 states/eV/f.u.

Lattice parameters (Å, degrees): 3.7674 3.7674 3.7674 60.00 60.00 60.00
Sites, in units of the cell vectors:
Be: 0.5000 0.5000 0.5000
Mn: 0.2500 0.2500 0.2500
Tc: 0.0000 0.0000 0.0000

***

This record from the Alexandria database describes a relaxed structure of MnBeTe3. The functional is PBEsol.

Output
symmetry: No. 221
volume: 120 Å³/f.u.
formation energy without anion corrections: 0.63 eV/atom
Fermi-level density of states: 4.1 states/eV/f.u.

Lattice parameters (Å, degrees): 4.9337 4.9337 4.9337 90.00 90.00 90.00
Sites, in units of the cell vectors:
Te: 0.5000 0.0000 0.0000
Te: 0.0000 0.0000 0.5000
Be: 0.0000 0.0000 0.0000
Te: 0.0000 0.5000 0.0000
Mn: 0.5000 0.5000 0.5000

***

This record from the Alexandria database describes a relaxed structure of MnBeTe. The functional is PBEsol.

Output
symmetry: No. 187
volume: 46 Å³/f.u.
formation energy without anion corrections: 0.49 eV/atom
Fermi-level density of states: 2.1 states/eV/f.u.

Lattice parameters (Å, degrees): 3.8836 3.8836 3.5576 90.00 90.00 120.00
Sites, in units of the cell vectors:
Te: 0.6667 0.3333 0.3330
Mn: 0.3333 0.6667 0.8330
Be: 0.0000 0.0000 0.8340

***

This record from the Alexandria database describes a relaxed structure of TiMn2Be2. The functional is PBEsol.

Output
symmetry: No. 127
ΔE_f: -13.03 kJ per mole of atoms
volume: 51 Å³/f.u.
Fermi-level density of states: 4.1 states/eV/f.u.

Lattice parameters (Å, degrees): 2.8857 5.9458 5.9458 90.00 90.00 90.00
Sites, in units of the cell vectors:
Ti: 0.0000 0.0000 0.0000
Be: 0.0000 0.6180 0.1180
Mn: 0.5000 0.1742 0.6742
Be: 0.0000 0.3820 0.8820
Be: 0.0000 0.8820 0.6180
Mn: 0.5000 0.6742 0.8258
Be: 0.0000 0.1180 0.3820
Ti: 0.0000 0.5000 0.5000
Mn: 0.5000 0.8258 0.3258
Mn: 0.5000 0.3258 0.1742

***

This record from the Alexandria database describes a relaxed structure of Mn2BeTl. The functional is PBEsol.

Output
symmetry: No. 123
ΔE_f: 45.59 kJ per mole of atoms
volume: 55 Å³/f.u.
offset from the most stable computed form: 3 kJ/mol of formula units
Fermi-level density of states: 2.4 states/eV/f.u.

Lattice parameters (Å, degrees): 3.7877 3.7877 3.8219 90.00 90.00 90.00
Sites, in units of the cell vectors:
Be: 0.0000 0.0000 0.5000
Mn: 0.5000 0.0000 0.0000
Tl: 0.5000 0.5000 0.5000
Mn: 0.0000 0.5000 0.0000

***

This record from the Alexandria database describes a relaxed structure of Mn2BeTl. The functional is PBEsol.

Output
symmetry: No. 139
ΔE_f: 44.88 kJ per mole of atoms
volume: 55 Å³/f.u.
offset from the most stable computed form: 0 kJ/mol of formula units
Fermi-level density of states: 2.4 states/eV/f.u.

Lattice parameters (Å, degrees): 3.7945 3.7945 4.6485 114.09 114.09 90.00
Sites, in units of the cell vectors:
Mn: 0.7500 0.2500 0.5000
Mn: 0.2500 0.7500 0.5000
Tl: 0.0000 0.0000 0.0000
Be: 0.5000 0.5000 0.0000